Here is AcMg4Sb after structural relaxation from the Alexandria database. Energies are from PBE-GGA.

The structure in POSCAR format:
```
AcMg4Sb
1.0
6.143 0.000 0.000
3.072 5.320 0.000
3.072 1.773 5.016
Mg Ac Sb
4 1 1
Direct
0.626 0.626 0.626
0.626 0.626 0.123
0.123 0.626 0.626
0.626 0.123 0.626
0.250 0.250 0.250
0.000 0.000 0.000
```

Total magnetic moment = 0.00 μB/cell
Formation energy (no corrections) = -0.071 eV per atom


Here is In6SnTe8 after structural relaxation from the Alexandria database. Energies are from PBE-GGA.

The structure in POSCAR format:
```
In6SnTe8
1.0
-0.669 7.731 1.937
-7.924 -0.158 -1.073
-1.260 -1.778 7.696
In Te Sn
6 8 1
Direct
0.389 0.882 0.623
0.611 0.118 0.377
0.623 0.389 0.882
0.882 0.623 0.389
0.118 0.377 0.611
0.377 0.611 0.118
0.326 0.166 0.850
0.150 0.674 0.834
0.706 0.706 0.706
0.294 0.294 0.294
0.834 0.150 0.674
0.166 0.850 0.326
0.850 0.326 0.166
0.674 0.834 0.150
0.000 0.000 0.000
```

Total magnetic moment = 0.00 μB/cell
Formation energy (no corrections) = -0.203 eV per atom


Here is Er2PdS after structural relaxation from the Alexandria database. Energies are from PBE-GGA.

The structure in POSCAR format:
```
Er2PdS
1.0
-1.147 3.291 -0.699
-2.599 1.430 1.958
4.630 4.783 5.879
S Pd Er
1 1 2
Direct
0.500 0.500 0.500
0.000 0.000 0.000
0.101 0.101 0.698
0.899 0.899 0.302
```

Total magnetic moment = 0.00 μB/cell
Energy relative to the lowest polymorph listed for this composition = 662 meV/atom
Formation energy (no corrections) = -0.779 eV per atom


Here is BaCuSn4 after structural relaxation from the Alexandria database. Energies are from PBE-GGA.

The structure in POSCAR format:
```
BaCuSn4
1.0
4.963 0.000 0.000
0.000 6.519 0.000
-2.482 0.000 10.813
Ba Sn Cu
2 8 2
Direct
0.379 0.750 0.758
0.621 0.250 0.242
0.212 0.510 0.424
0.447 0.250 0.893
0.212 0.990 0.424
0.000 0.000 0.000
0.788 0.490 0.576
0.000 0.500 0.000
0.788 0.010 0.576
0.553 0.750 0.107
0.889 0.250 0.779
0.111 0.750 0.221
```

Total magnetic moment = 0.00 μB/cell
Energy of formation from the pure elements = -215 meV/atom
Energy relative to the lowest polymorph listed for this composition = 61 meV/atom


Here is Zr3Ti3Cd2C after structural relaxation from the Alexandria database. Energies are from PBE-GGA.

The structure in POSCAR format:
```
Zr3Ti3Cd2C
1.0
-0.933 -2.580 -1.945
3.283 -4.826 4.825
-7.264 1.928 0.929
Zr Ti Cd C
3 3 2 1
Direct
0.000 0.639 0.639
0.000 0.000 0.361
0.000 0.361 0.000
0.500 0.790 0.000
0.500 0.210 0.210
0.500 0.000 0.790
0.500 0.667 0.333
0.500 0.333 0.667
0.000 0.000 0.000
```

Total magnetic moment = 0.00 μB/cell
Energy of formation from the pure elements = -66 meV/atom


Here is PmPr3Sm2 after structural relaxation from the Alexandria database. Energies are from PBE-GGA.

The structure in POSCAR format:
```
PmPr3Sm2
1.0
3.537 0.000 0.636
1.585 6.687 1.340
-1.392 0.281 17.896
Sm Pr Pm
4 6 2
Direct
0.634 0.236 0.497
0.198 0.439 0.164
0.802 0.561 0.836
0.366 0.764 0.503
0.626 0.739 0.008
0.374 0.261 0.992
0.725 0.885 0.666
0.275 0.115 0.334
0.936 0.962 0.165
0.064 0.038 0.835
0.455 0.410 0.680
0.545 0.590 0.320
```

Total magnetic moment = 0.00 μB/cell
Energy of formation from the pure elements = 101 meV/atom
Energy relative to the lowest polymorph listed for this composition = 0 meV/atom


Here is K2ZnGa2 after structural relaxation from the Alexandria database. Energies are from PBE-GGA.

The structure in POSCAR format:
```
K2ZnGa2
1.0
-5.644 3.328 -2.408
-3.405 -1.502 5.905
1.920 4.972 2.372
Ga K Zn
4 4 2
Direct
0.369 0.869 0.000
0.869 0.631 0.000
0.131 0.369 0.000
0.631 0.131 0.000
0.684 0.816 0.500
0.316 0.184 0.500
0.184 0.684 0.500
0.816 0.316 0.500
0.500 0.500 0.000
0.000 0.000 0.000
```

Total magnetic moment = 0.00 μB/cell
Energy of formation from the pure elements = 66 meV/atom


Here is Re2HW after structural relaxation from the Alexandria database. Energies are from PBE-GGA.

The structure in POSCAR format:
```
Re2HW
1.0
-1.966 1.436 3.501
-1.428 4.015 0.148
-4.192 0.776 -0.076
H Re W
1 2 1
Direct
0.000 0.000 0.000
0.250 0.250 0.250
0.750 0.750 0.750
0.500 0.500 0.500
```

Total magnetic moment = 0.00 μB/cell
Energy relative to the lowest polymorph listed for this composition = 404 meV/atom


Here is KSbTe2Ir after structural relaxation from the Alexandria database. Energies are from PBE-GGA.

The structure in POSCAR format:
```
KSbTe2Ir
1.0
-0.290 5.421 1.987
1.699 -1.821 5.217
5.436 0.833 -1.480
Te Sb K Ir
2 1 1 1
Direct
0.500 0.000 0.000
0.000 0.500 0.000
0.000 0.000 0.500
0.000 0.000 0.000
0.500 0.500 0.500
```

Total magnetic moment = 2.15 μB/cell
Energy relative to the lowest polymorph listed for this composition = 1975 meV/atom
Formation energy (no corrections) = 1.991 eV per atom


Here is BaGePt3 after structural relaxation from the Alexandria database. Energies are from PBE-GGA.

The structure in POSCAR format:
```
BaGePt3
1.0
4.865 0.000 0.000
0.000 4.865 0.000
0.000 0.000 4.865
Pt Ba Ge
3 1 1
Direct
0.500 0.000 0.000
0.000 0.500 0.000
0.000 0.000 0.500
0.500 0.500 0.500
0.000 0.000 0.000
```

Total magnetic moment = 0.00 μB/cell
Energy of formation from the pure elements = -331 meV/atom
Energy relative to the lowest polymorph listed for this composition = 143 meV/atom